No. 1
InHg3S | PBE-GGA | relaxed

Output
Offset from the most stable computed form, meV/atom: 160
Formation energy without anion corrections, meV per atom: 461
Space-group type: Pm-3m (221)
Size of the total moment, μB per formula unit: 0.000

Unit cell a=5.5504 b=5.5504 c=5.5504 alpha=90.00 beta=90.00 gamma=90.00
With the nearest neighbours (Å) after each atom.
Positions (direct):
In  0.0000  0.0000  0.0000  6 Hg 2.78
Hg  0.0000  0.0000  0.5000  2 In 2.78
Hg  0.0000  0.5000  0.0000  2 In 2.78
Hg  0.5000  0.0000  0.0000  2 In 2.78
S  0.5000  0.5000  0.5000  12 Hg 3.92

=====

No. 2
Nb3SbTe | PBE-GGA | relaxed

Output
Offset from the most stable computed form, meV/atom: 132
Formation energy without anion corrections, meV per atom: 1358
Space-group type: Pm-3m (221)
Size of the total moment, μB per formula unit: 0.000

Unit cell a=5.0872 b=5.0872 c=5.0872 alpha=90.00 beta=90.00 gamma=90.00
With the nearest neighbours (Å) after each atom.
Positions (direct):
Nb  0.0000  0.0000  0.5000  2 Sb 2.54
Nb  0.0000  0.5000  0.0000  2 Sb 2.54
Nb  0.5000  0.0000  0.0000  2 Sb 2.54
Sb  0.0000  0.0000  0.0000  6 Nb 2.54
Te  0.5000  0.5000  0.5000  12 Nb 3.60

=====

No. 3
AcDyHoAg | PBE-GGA | relaxed

Output
ΔH_f (0 K), meV per atom: 182
Space-group type: F-43m (216)
Size of the total moment, μB per formula unit: 0.000

Unit cell a=7.8536 b=7.8536 c=7.8536 alpha=90.00 beta=90.00 gamma=90.00
With the nearest neighbours (Å) after each atom.
Positions (direct):
Ac  0.0000  0.0000  0.0000  4 Ho 3.40, 4 Dy 3.40
Ac  0.0000  0.5000  0.5000  4 Ho 3.40, 4 Dy 3.40
Ac  0.5000  0.0000  0.5000  4 Ho 3.40, 4 Dy 3.40
Ac  0.5000  0.5000  0.0000  4 Ho 3.40, 4 Dy 3.40
Dy  0.2500  0.2500  0.2500  4 Ac 3.40, 4 Ag 3.40
Dy  0.2500  0.7500  0.7500  4 Ac 3.40, 4 Ag 3.40
Dy  0.7500  0.2500  0.7500  4 Ac 3.40, 4 Ag 3.40
Dy  0.7500  0.7500  0.2500  4 Ac 3.40, 4 Ag 3.40
Ho  0.2500  0.2500  0.7500  4 Ag 3.40, 4 Ac 3.40
Ho  0.2500  0.7500  0.2500  4 Ag 3.40, 4 Ac 3.40
Ho  0.7500  0.2500  0.2500  4 Ag 3.40, 4 Ac 3.40
Ho  0.7500  0.7500  0.7500  4 Ag 3.40, 4 Ac 3.40
Ag  0.0000  0.0000  0.5000  4 Dy 3.40, 4 Ho 3.40
Ag  0.0000  0.5000  0.0000  4 Dy 3.40, 4 Ho 3.40
Ag  0.5000  0.0000  0.0000  4 Dy 3.40, 4 Ho 3.40
Ag  0.5000  0.5000  0.5000  4 Dy 3.40, 4 Ho 3.40

=====

No. 4
CsNbGe2 | PBE-GGA | relaxed

Output
Offset from the most stable computed form, meV/atom: 695
ΔH_f (0 K), meV per atom: 991
Space-group type: Fm-3m (225)
Size of the total moment, μB per formula unit: 2.361

Unit cell a=7.3694 b=7.3694 c=7.3694 alpha=90.00 beta=90.00 gamma=90.00
With the nearest neighbours (Å) after each atom.
Positions (direct):
Cs  0.0000  0.0000  0.0000  8 Ge 3.19
Cs  0.0000  0.5000  0.5000  8 Ge 3.19
Cs  0.5000  0.0000  0.5000  8 Ge 3.19
Cs  0.5000  0.5000  0.0000  8 Ge 3.19
Nb  0.0000  0.0000  0.5000  8 Ge 3.19
Nb  0.0000  0.5000  0.0000  8 Ge 3.19
Nb  0.5000  0.0000  0.0000  8 Ge 3.19
Nb  0.5000  0.5000  0.5000  8 Ge 3.19
Ge  0.2500  0.2500  0.2500  4 Nb 3.19, 4 Cs 3.19
Ge  0.2500  0.2500  0.7500  4 Nb 3.19, 4 Cs 3.19
Ge  0.2500  0.7500  0.2500  4 Nb 3.19, 4 Cs 3.19
Ge  0.2500  0.7500  0.7500  4 Nb 3.19, 4 Cs 3.19
Ge  0.7500  0.2500  0.2500  4 Nb 3.19, 4 Cs 3.19
Ge  0.7500  0.2500  0.7500  4 Nb 3.19, 4 Cs 3.19
Ge  0.7500  0.7500  0.2500  4 Nb 3.19, 4 Cs 3.19
Ge  0.7500  0.7500  0.7500  4 Nb 3.19, 4 Cs 3.19

=====

No. 5
Mn2SiMo | PBE-GGA | relaxed

Output
Formation energy without anion corrections, meV per atom: -217
Space-group type: P4/mmm (123)
Size of the total moment, μB per formula unit: 0.000

Unit cell a=4.0395 b=4.0395 c=2.9836 alpha=90.00 beta=90.00 gamma=90.00
With the nearest neighbours (Å) after each atom.
Positions (direct):
Mn  0.0000  0.5000  0.0000  4 Mo 2.51, 4 Si 2.51
Mn  0.5000  0.0000  0.0000  4 Mo 2.51, 4 Si 2.51
Si  0.0000  0.0000  0.5000  8 Mn 2.51
Mo  0.5000  0.5000  0.5000  8 Mn 2.51

=====

No. 6
CdReBr2 | PBE-GGA | relaxed

Output
Offset from the most stable computed form, meV/atom: 716
Formation energy without anion corrections, meV per atom: 971
Space-group type: C2/m (12)
Size of the total moment, μB per formula unit: 2.596

Unit cell a=6.4612 b=9.2943 c=3.3555 alpha=90.00 beta=117.39 gamma=90.00
With the nearest neighbours (Å) after each atom.
Positions (direct):
Cd  0.0000  0.0000  0.0000  4 Br 2.83
Cd  0.5000  0.5000  0.0000  4 Br 2.83
Re  0.0000  0.5000  0.0000  4 Br 2.83
Re  0.5000  0.0000  0.0000  4 Br 2.83
Br  0.2500  0.2500  0.0000  2 Cd 2.83, 2 Re 2.83
Br  0.2500  0.7500  0.0000  2 Re 2.83, 2 Cd 2.83
Br  0.7500  0.2500  0.0000  2 Re 2.83, 2 Cd 2.83
Br  0.7500  0.7500  0.0000  2 Cd 2.83, 2 Re 2.83

=====

No. 7
K5ZnPb6 | PBE-GGA | relaxed

Output
ΔH_f (0 K), meV per atom: -83
Space-group type: C2/m (12)
Size of the total moment, μB per formula unit: 0.000

Unit cell a=8.0065 b=8.0065 c=9.9922 alpha=98.40 beta=98.40 gamma=125.73
With the nearest neighbours (Å) after each atom.
Positions (direct):
K  0.0000  0.0000  0.0000  6 Pb 3.54-3.67, 2 K 3.92
K  0.1478  0.8522  0.5000  6 Pb 3.83-4.12, 1 K 4.21, 2 Zn 4.22
K  0.2751  0.7249  0.0000  6 Pb 3.61-3.83, 3 K 3.72-3.92
K  0.7249  0.2751  0.0000  6 Pb 3.61-3.83, 3 K 3.72-3.92
K  0.8522  0.1478  0.5000  6 Pb 3.83-4.12, 1 K 4.21, 2 Zn 4.22
Zn  0.5000  0.5000  0.5000  4 Pb 2.70
Pb  0.2248  0.4614  0.2819  1 Zn 2.70
Pb  0.3749  0.3749  0.8284  3 Pb 3.12-3.33
Pb  0.4614  0.2248  0.2819  1 Zn 2.70
Pb  0.5386  0.7752  0.7181  1 Zn 2.70
Pb  0.6251  0.6251  0.1716  3 Pb 3.12-3.33
Pb  0.7752  0.5386  0.7181  1 Zn 2.70

=====

No. 8
BrO | PBE-GGA | relaxed

Output
Offset from the most stable computed form, meV/atom: 61
Formation energy without anion corrections, meV per atom: 204
Space-group type: P1 (1)
Size of the total moment, μB per formula unit: 0.000

Unit cell a=5.2002 b=6.0718 c=7.7674 alpha=93.13 beta=94.18 gamma=107.87
With the nearest neighbours (Å) after each atom.
Positions (direct):
Br  0.0000  0.0000  0.0000  1 O 2.21, 1 Br 2.44
Br  0.0889  0.9257  0.5779  1 O 1.74
Br  0.2566  0.5010  0.2722  1 O 1.81
Br  0.6473  0.6916  0.8245  1 Br 2.44
O  0.1188  0.8257  0.3682  1 Br 1.74
O  0.3382  0.2745  0.1483  1 Br 1.81, 1 O 2.02
O  0.4847  0.2315  0.4775  1 O 1.23
O  0.4858  0.1216  0.3397  1 O 1.23

=====

No. 9
Ac2Sb4RuRh3 | PBE-GGA | relaxed

Output
Formation energy without anion corrections, meV per atom: -775
Space-group type: P-4m2 (115)
Size of the total moment, μB per formula unit: 0.000

Unit cell a=4.6018 b=4.6018 c=10.7486 alpha=90.00 beta=90.00 gamma=90.00
With the nearest neighbours (Å) after each atom.
Positions (direct):
Ac  0.0000  0.5000  0.2474  8 Sb 3.49-3.56, 2 Ru 3.52, 6 Rh 3.52-3.53
Ac  0.5000  0.0000  0.7526  8 Sb 3.49-3.56, 2 Ru 3.52, 6 Rh 3.52-3.53
Sb  0.0000  0.0000  0.5000  4 Rh 2.66
Sb  0.0000  0.5000  0.8705  3 Rh 2.65-2.69, 2 Ru 2.69
Sb  0.5000  0.0000  0.1295  3 Rh 2.65-2.69, 2 Ru 2.69
Sb  0.5000  0.5000  0.5000  4 Rh 2.66
Ru  0.5000  0.5000  0.0000  4 Sb 2.69
Rh  0.0000  0.0000  0.0000  4 Sb 2.69
Rh  0.0000  0.5000  0.6244  5 Sb 2.65-2.66
Rh  0.5000  0.0000  0.3756  5 Sb 2.65-2.66

=====

No. 10
Mg2B3Ir5 | PBE-GGA | relaxed

Output
ΔH_f (0 K), meV per atom: -248
Space-group type: Cmc2_1 (36)
Size of the total moment, μB per formula unit: 0.000

Unit cell a=10.9553 b=10.9553 c=6.2191 alpha=90.00 beta=90.00 gamma=160.22
With the nearest neighbours (Å) after each atom.
Positions (direct):
Mg  0.0291  0.9709  0.5000  3 B 2.42-2.65, 2 Ir 2.60-2.67
Mg  0.3251  0.6749  0.4826  9 Ir 2.68-2.94, 4 B 2.70-2.77
Mg  0.6749  0.3251  0.9826  9 Ir 2.68-2.94, 4 B 2.70-2.77
Mg  0.9709  0.0291  0.0000  3 B 2.42-2.65, 2 Ir 2.60-2.67
B  0.1051  0.8949  0.7859  4 Ir 2.08-2.20
B  0.2686  0.7314  0.9571  5 Ir 2.17-2.30
B  0.4605  0.5395  0.6821  4 Ir 2.18-2.31
B  0.5395  0.4605  0.1821  4 Ir 2.18-2.31
B  0.7314  0.2686  0.4571  5 Ir 2.17-2.30
B  0.8949  0.1051  0.2859  4 Ir 2.08-2.20
Ir  0.0882  0.9118  0.1355  3 B 2.18-2.20
Ir  0.1969  0.8031  0.6829  2 B 2.08-2.30
Ir  0.2136  0.7864  0.2590  3 B 2.22-2.28
Ir  0.3690  0.6310  0.9307  1 B 2.17
Ir  0.4437  0.5563  0.3153  4 B 2.16-2.31
Ir  0.5563  0.4437  0.8153  4 B 2.16-2.31
Ir  0.6310  0.3690  0.4307  1 B 2.17
Ir  0.7864  0.2136  0.7590  3 B 2.22-2.28
Ir  0.8031  0.1969  0.1829  2 B 2.08-2.30
Ir  0.9118  0.0882  0.6355  3 B 2.18-2.20

=====

No. 11
AgAsCl2 | PBE-GGA | relaxed

Output
Offset from the most stable computed form, meV/atom: 189
Formation energy without anion corrections, meV per atom: -100
Space-group type: C2/m (12)
Size of the total moment, μB per formula unit: 0.000

Unit cell a=14.0297 b=3.3849 c=4.5558 alpha=90.00 beta=94.19 gamma=90.00
With the nearest neighbours (Å) after each atom.
Positions (direct):
Ag  0.0000  0.0000  0.0000  4 Cl 2.80, 4 As 2.84
Ag  0.5000  0.5000  0.0000  4 Cl 2.80, 4 As 2.84
As  0.0000  0.5000  0.5000  2 Cl 2.46
As  0.5000  0.0000  0.5000  2 Cl 2.46
Cl  0.1458  0.5000  0.2297  1 As 2.46
Cl  0.3542  0.0000  0.7703  1 As 2.46
Cl  0.6458  0.0000  0.2297  1 As 2.46
Cl  0.8542  0.5000  0.7703  1 As 2.46

=====

No. 12
Sb8Cl2O11 | PBE-GGA | relaxed

Output
Offset from the most stable computed form, meV/atom: 71
Formation energy without anion corrections, meV per atom: -1228
Space-group type: P-1 (2)
Size of the total moment, μB per formula unit: 0.000

Unit cell a=7.3247 b=7.4459 c=20.8499 alpha=95.22 beta=98.93 gamma=94.37
With the nearest neighbours (Å) after each atom.
Positions (direct):
Sb  0.0114  0.2892  0.2833  3 O 1.98-2.06
Sb  0.0656  0.0065  0.4029  2 O 1.98-2.02
Sb  0.1221  0.1920  0.8123  3 O 1.97-2.01
Sb  0.1772  0.5748  0.4438  3 O 1.96-2.00
Sb  0.2121  0.2055  0.0576  2 O 1.97-2.00
Sb  0.2373  0.5396  0.9621  3 O 1.97-2.03
Sb  0.2830  0.5785  0.1790  3 O 1.99-2.02
Sb  0.3572  0.4264  0.6935  3 O 1.97-2.00
Sb  0.6428  0.5736  0.3065  3 O 1.97-2.00
Sb  0.7170  0.4215  0.8210  3 O 1.99-2.02
Sb  0.7627  0.4604  0.0379  3 O 1.97-2.03
Sb  0.7879  0.7945  0.9424  2 O 1.97-2.00
Sb  0.8228  0.4252  0.5562  3 O 1.96-2.00
Sb  0.8779  0.8080  0.1877  3 O 1.97-2.01
Sb  0.9344  0.9935  0.5971  2 O 1.98-2.02
Sb  0.9886  0.7108  0.7167  3 O 1.98-2.06
Cl  0.2386  0.9573  0.5633  1 Sb 2.47
Cl  0.4769  0.0579  0.1058  1 Sb 2.43
Cl  0.5231  0.9421  0.8942  1 Sb 2.43
Cl  0.7614  0.0427  0.4367  1 Sb 2.47
O  0.0000  0.5000  0.0000  2 Sb 2.03
O  0.0000  0.5000  0.5000  2 Sb 1.96
O  0.0223  0.7337  0.3898  2 Sb 2.00-2.02
O  0.0217  0.9694  0.6904  2 Sb 1.98-2.06
O  0.0594  0.6362  0.2189  2 Sb 1.99-2.01
O  0.1152  0.3593  0.3786  2 Sb 1.98-2.02
O  0.1604  0.3326  0.1388  2 Sb 1.97-2.02
O  0.1897  0.3110  0.9041  2 Sb 1.97-2.01
O  0.2459  0.6550  0.7115  2 Sb 1.97-1.98
O  0.3234  0.3155  0.7752  2 Sb 1.97-2.00
O  0.3719  0.4118  0.0343  2 Sb 2.00-2.02
O  0.3865  0.4832  0.2618  2 Sb 1.99-2.00
O  0.6135  0.5168  0.7382  2 Sb 1.99-2.00
O  0.6281  0.5882  0.9657  2 Sb 2.00-2.02
O  0.6766  0.6845  0.2248  2 Sb 1.97-2.00
O  0.7541  0.3450  0.2885  2 Sb 1.97-1.98
O  0.8103  0.6890  0.0959  2 Sb 1.97-2.01
O  0.8396  0.6674  0.8612  2 Sb 1.97-2.02
O  0.8848  0.6407  0.6214  2 Sb 1.98-2.02
O  0.9406  0.3638  0.7811  2 Sb 1.99-2.01
O  0.9783  0.0306  0.3096  2 Sb 1.98-2.06
O  0.9777  0.2663  0.6102  2 Sb 2.00-2.02

=====

One value per record, in order, for calculated total energy: -1.094, -6.137, -3.852, -4.049, -8.865, -3.207, -2.501, -3.112, -6.379, -7.000, -2.898, -5.571 eV per atom.